# Pm4Er3Zn, optimized geometry, DFT PBE-GGA
data_Pm4Er3Zn
_symmetry_space_group_name_H-M 'P 4/m m m'
_symmetry_Int_Tables_number 123
_symmetry_space_group_name_Hall '-P 4 2'
_cell_length_a 3.618
_cell_length_b 3.618
_cell_length_c 18.668
_cell_angle_alpha 90.00
_cell_angle_beta 90.00
_cell_angle_gamma 90.00
loop_
_atom_site_label
_atom_site_type_symbol
_atom_site_fract_x
_atom_site_fract_y
_atom_site_fract_z
Pm1 Pm 0.000 0.000 0.098
Pm2 Pm 0.000 0.000 0.367
Er1 Er 0.500 0.500 0.235
Er2 Er 0.500 0.500 0.500
Zn1 Zn 0.500 0.500 0.000
# * energy of formation: -0.49 eV per formula unit
# * total magnetization: 0.00 μB/f.u.
# * DFT total energy: -0.1583 Ha/atom


# Tl2SbS, optimized geometry, DFT PBE-GGA
data_Tl2SbS
_symmetry_space_group_name_H-M 'F m -3 m'
_symmetry_Int_Tables_number 225
_symmetry_space_group_name_Hall '-F 4 2 3'
_cell_length_a 7.529
_cell_length_b 7.529
_cell_length_c 7.529
_cell_angle_alpha 90.00
_cell_angle_beta 90.00
_cell_angle_gamma 90.00
loop_
_atom_site_label
_atom_site_type_symbol
_atom_site_fract_x
_atom_site_fract_y
_atom_site_fract_z
Tl1 Tl 0.250 0.250 0.250
Sb1 Sb 0.000 0.000 0.000
S1 S 0.000 0.000 0.500
# * excess energy over the best structure of this formula in the dataset: 0.103 eV per atom
# * total magnetization: 0.00 μB/f.u.
# * DFT total energy: -0.1140 Ha/atom


# Ca2NdTl9, optimized geometry, DFT PBE-GGA
data_Ca2NdTl9
_symmetry_space_group_name_H-M 'P 4/m m m'
_symmetry_Int_Tables_number 123
_symmetry_space_group_name_Hall '-P 4 2'
_cell_length_a 4.848
_cell_length_b 4.848
_cell_length_c 14.571
_cell_angle_alpha 90.00
_cell_angle_beta 90.00
_cell_angle_gamma 90.00
loop_
_atom_site_label
_atom_site_type_symbol
_atom_site_fract_x
_atom_site_fract_y
_atom_site_fract_z
Ca1 Ca 0.000 0.000 0.168
Nd1 Nd 0.000 0.000 0.500
Tl1 Tl 0.000 0.500 0.000
Tl2 Tl 0.000 0.500 0.333
Tl3 Tl 0.500 0.500 0.167
Tl4 Tl 0.500 0.500 0.500
# * energy of formation: -3.09 eV per formula unit
# * total magnetization: 0.00 μB/f.u.
# * DFT total energy: -0.1016 Ha/atom


# MnRu5, optimized geometry, DFT PBE-GGA
data_MnRu5
_symmetry_space_group_name_H-M 'P -6 2 m'
_symmetry_Int_Tables_number 189
_symmetry_space_group_name_Hall 'P -6 -2'
_cell_length_a 4.6798
_cell_length_b 4.6798
_cell_length_c 4.2528
_cell_angle_alpha 90.00
_cell_angle_beta 90.00
_cell_angle_gamma 120.00
loop_
_atom_site_label
_atom_site_type_symbol
_atom_site_fract_x
_atom_site_fract_y
_atom_site_fract_z
Mn1 Mn 0.0000 0.0000 0.0000
Ru1 Ru 0.0000 0.6733 0.5000
Ru2 Ru 0.3333 0.6667 0.0000
# * energy of formation: 0.02 eV per formula unit
# * total magnetization: 0.34 μB/f.u.
# * DFT total energy: -0.3401 Ha/atom


# Sr2Mg3In6, optimized geometry, DFT PBE-GGA
data_Sr2Mg3In6
_symmetry_space_group_name_H-M 'C m m m'
_symmetry_Int_Tables_number 65
_symmetry_space_group_name_Hall '-C 2 2'
_cell_length_a 11.321
_cell_length_b 13.533
_cell_length_c 4.300
_cell_angle_alpha 90.00
_cell_angle_beta 90.00
_cell_angle_gamma 90.00
loop_
_atom_site_label
_atom_site_type_symbol
_atom_site_fract_x
_atom_site_fract_y
_atom_site_fract_z
Sr1 Sr 0.000 0.201 0.000
Mg1 Mg 0.000 0.500 0.500
Mg2 Mg 0.197 0.500 0.000
In1 In 0.122 0.000 0.500
In2 In 0.193 0.344 0.500
# * energy of formation: -1.74 eV per formula unit
# * total magnetization: 0.00 μB/f.u.
# * DFT total energy: -0.0879 Ha/atom


# Pr5Sm2Tm2, optimized geometry, DFT PBE-GGA
data_Pr5Sm2Tm2
_symmetry_space_group_name_H-M 'C 1 2/m 1'
_symmetry_Int_Tables_number 12
_cell_length_a 15.468
_cell_length_b 5.162
_cell_length_c 8.165
_cell_angle_alpha 90.00
_cell_angle_beta 108.74
_cell_angle_gamma 90.00
loop_
_symmetry_equiv_pos_as_xyz
'x,y,z'
'-x,-y,-z'
'-x,y,-z'
'x,-y,z'
'x+1/2,y+1/2,z'
'-x+1/2,-y+1/2,-z'
'-x+1/2,y+1/2,-z'
'x+1/2,-y+1/2,z'
loop_
_atom_site_label
_atom_site_type_symbol
_atom_site_fract_x
_atom_site_fract_y
_atom_site_fract_z
Pr1 Pr 0.000 0.000 0.000
Pr2 Pr 0.166 0.500 0.001
Pr3 Pr 0.223 0.000 0.336
Sm1 Sm 0.108 0.000 0.665
Tm1 Tm 0.055 0.500 0.338
# * excess energy over the best structure of this formula in the dataset: 0.000 eV per atom
# * energy of formation: 0.17 eV per formula unit
# * total magnetization: 0.00 μB/f.u.
# * DFT total energy: -0.1719 Ha/atom


# Th4Te2PC, optimized geometry, DFT PBE-GGA
data_Th4Te2PC
_symmetry_space_group_name_H-M 'P 1 2/m 1'
_symmetry_Int_Tables_number 10
_cell_length_a 7.114
_cell_length_b 4.059
_cell_length_c 7.763
_cell_angle_alpha 90.00
_cell_angle_beta 107.44
_cell_angle_gamma 90.00
loop_
_symmetry_equiv_pos_as_xyz
'x,y,z'
'-x,-y,-z'
'-x,y,-z'
'x,-y,z'
loop_
_atom_site_label
_atom_site_type_symbol
_atom_site_fract_x
_atom_site_fract_y
_atom_site_fract_z
Th1 Th 0.213 0.000 0.191
Th2 Th 0.246 0.500 0.802
Te1 Te 0.000 0.000 0.500
Te2 Te 0.500 0.500 0.500
P1 P 0.500 0.000 0.000
C1 C 0.000 0.500 0.000
# * total magnetization: 0.00 μB/f.u.
# * DFT total energy: -0.2716 Ha/atom


# Dy6NiHg, optimized geometry, DFT PBE-GGA
data_Dy6NiHg
_symmetry_space_group_name_H-M 'R -3'
_symmetry_Int_Tables_number 148
_symmetry_space_group_name_Hall '-R 3'
_cell_length_a 6.8748
_cell_length_b 6.8748
_cell_length_c 18.2461
_cell_angle_alpha 90.00
_cell_angle_beta 90.00
_cell_angle_gamma 120.00
loop_
_atom_site_label
_atom_site_type_symbol
_atom_site_fract_x
_atom_site_fract_y
_atom_site_fract_z
Dy1 Dy 0.0042 0.3722 0.4139
Ni1 Ni 0.0000 0.0000 0.0000
Hg1 Hg 0.0000 0.0000 0.5000
# * energy of formation: -0.08 eV per formula unit
# * total magnetization: 0.00 μB/f.u.
# * DFT total energy: -0.1552 Ha/atom


# PuOsN, optimized geometry, DFT PBE-GGA
data_PuOsN
_symmetry_space_group_name_H-M 'I 4 m m'
_symmetry_Int_Tables_number 107
_symmetry_space_group_name_Hall 'I 4 -2'
_cell_length_a 3.905
_cell_length_b 3.905
_cell_length_c 7.400
_cell_angle_alpha 90.00
_cell_angle_beta 90.00
_cell_angle_gamma 90.00
loop_
_atom_site_label
_atom_site_type_symbol
_atom_site_fract_x
_atom_site_fract_y
_atom_site_fract_z
Pu1 Pu 0.000 0.000 0.000
Os1 Os 0.000 0.000 0.467
N1 N 0.000 0.000 0.715
# * total magnetization: 3.83 μB/f.u.
# * DFT total energy: -0.3977 Ha/atom


# NaZr2Al2, optimized geometry, DFT PBE-GGA
data_NaZr2Al2
_symmetry_space_group_name_H-M 'P 4/m b m'
_symmetry_Int_Tables_number 127
_symmetry_space_group_name_Hall '-P 4 2ab'
_cell_length_a 8.704
_cell_length_b 8.704
_cell_length_c 2.963
_cell_angle_alpha 90.00
_cell_angle_beta 90.00
_cell_angle_gamma 90.00
loop_
_atom_site_label
_atom_site_type_symbol
_atom_site_fract_x
_atom_site_fract_y
_atom_site_fract_z
Na1 Na 0.000 0.000 0.000
Zr1 Zr 0.125 0.375 0.000
Al1 Al 0.170 0.670 0.500
# * excess energy over the best structure of this formula in the dataset: 0.013 eV per atom
# * energy of formation: -0.25 eV per formula unit
# * total magnetization: 0.00 μB/f.u.
# * DFT total energy: -0.1922 Ha/atom


# LiPrNdSn, optimized geometry, DFT PBE-GGA
data_LiPrNdSn
_symmetry_space_group_name_H-M 'F -4 3 m'
_symmetry_Int_Tables_number 216
_symmetry_space_group_name_Hall 'F -4 2 3'
_cell_length_a 7.657
_cell_length_b 7.657
_cell_length_c 7.657
_cell_angle_alpha 90.00
_cell_angle_beta 90.00
_cell_angle_gamma 90.00
loop_
_atom_site_label
_atom_site_type_symbol
_atom_site_fract_x
_atom_site_fract_y
_atom_site_fract_z
Li1 Li 0.000 0.000 0.000
Pr1 Pr 0.250 0.250 0.750
Nd1 Nd 0.250 0.250 0.250
Sn1 Sn 0.000 0.000 0.500
# * energy of formation: -1.79 eV per formula unit
# * total magnetization: 0.00 μB/f.u.
# * DFT total energy: -0.1585 Ha/atom


# VTeN2Cl, optimized geometry, DFT PBE-GGA
data_VTeN2Cl
_symmetry_space_group_name_H-M 'P 4/m m m'
_symmetry_Int_Tables_number 123
_symmetry_space_group_name_Hall '-P 4 2'
_cell_length_a 4.061
_cell_length_b 4.061
_cell_length_c 5.204
_cell_angle_alpha 90.00
_cell_angle_beta 90.00
_cell_angle_gamma 90.00
loop_
_atom_site_label
_atom_site_type_symbol
_atom_site_fract_x
_atom_site_fract_y
_atom_site_fract_z
V1 V 0.000 0.000 0.000
Te1 Te 0.500 0.500 0.000
N1 N 0.000 0.500 0.500
Cl1 Cl 0.500 0.500 0.500
# * excess energy over the best structure of this formula in the dataset: 1.682 eV per atom
# * total magnetization: 0.58 μB/f.u.
# * DFT total energy: -0.1490 Ha/atom


# ErInPd2, optimized geometry, DFT PBE-GGA
data_ErInPd2
_symmetry_space_group_name_H-M 'F m -3 m'
_symmetry_Int_Tables_number 225
_symmetry_space_group_name_Hall '-F 4 2 3'
_cell_length_a 6.758
_cell_length_b 6.758
_cell_length_c 6.758
_cell_angle_alpha 90.00
_cell_angle_beta 90.00
_cell_angle_gamma 90.00
loop_
_atom_site_label
_atom_site_type_symbol
_atom_site_fract_x
_atom_site_fract_y
_atom_site_fract_z
Er1 Er 0.000 0.000 0.000
In1 In 0.000 0.000 0.500
Pd1 Pd 0.250 0.250 0.250
# * energy of formation: -3.34 eV per formula unit
# * total magnetization: 0.00 μB/f.u.
# * DFT total energy: -0.1931 Ha/atom


# YZrBr2, optimized geometry, DFT PBE-GGA
data_YZrBr2
_symmetry_space_group_name_H-M 'F -4 3 m'
_symmetry_Int_Tables_number 216
_symmetry_space_group_name_Hall 'F -4 2 3'
_cell_length_a 7.640
_cell_length_b 7.640
_cell_length_c 7.640
_cell_angle_alpha 90.00
_cell_angle_beta 90.00
_cell_angle_gamma 90.00
loop_
_atom_site_label
_atom_site_type_symbol
_atom_site_fract_x
_atom_site_fract_y
_atom_site_fract_z
Y1 Y 0.000 0.000 0.000
Zr1 Zr 0.250 0.250 0.250
Br1 Br 0.000 0.000 0.500
Br2 Br 0.250 0.250 0.750
# * excess energy over the best structure of this formula in the dataset: 1.092 eV per atom
# * total magnetization: 4.86 μB/f.u.
# * DFT total energy: -0.1675 Ha/atom


# K3Ce3GaO8, optimized geometry, DFT PBE-GGA
data_K3Ce3GaO8
_symmetry_space_group_name_H-M 'R -3 m'
_symmetry_Int_Tables_number 166
_symmetry_space_group_name_Hall '-R 3 2"'
_cell_length_a 6.9810
_cell_length_b 6.9810
_cell_length_c 18.9184
_cell_angle_alpha 90.00
_cell_angle_beta 90.00
_cell_angle_gamma 120.00
loop_
_atom_site_label
_atom_site_type_symbol
_atom_site_fract_x
_atom_site_fract_y
_atom_site_fract_z
K1 K 0.0000 0.5000 0.0000
Ce1 Ce 0.0000 0.5000 0.5000
Ga1 Ga 0.0000 0.0000 0.5000
O1 O 0.0000 0.0000 0.2301
O2 O 0.0268 0.5134 0.2238
# * total magnetization: 1.97 μB/f.u.
# * DFT total energy: -0.2471 Ha/atom


# TlCrSe2N, optimized geometry, DFT PBE-GGA
data_TlCrSe2N
_symmetry_space_group_name_H-M 'P 4/m m m'
_symmetry_Int_Tables_number 123
_symmetry_space_group_name_Hall '-P 4 2'
_cell_length_a 5.488
_cell_length_b 5.488
_cell_length_c 4.235
_cell_angle_alpha 90.00
_cell_angle_beta 90.00
_cell_angle_gamma 90.00
loop_
_atom_site_label
_atom_site_type_symbol
_atom_site_fract_x
_atom_site_fract_y
_atom_site_fract_z
Tl1 Tl 0.000 0.000 0.000
Cr1 Cr 0.500 0.500 0.500
Se1 Se 0.000 0.500 0.000
N1 N 0.000 0.000 0.500
# * excess energy over the best structure of this formula in the dataset: 1.262 eV per atom
# * total magnetization: 1.91 μB/f.u.
# * DFT total energy: -0.1528 Ha/atom


# SrPm2SmS4, optimized geometry, DFT PBE-GGA
data_SrPm2SmS4
_symmetry_space_group_name_H-M 'P 1 2/m 1'
_symmetry_Int_Tables_number 10
_cell_length_a 7.069
_cell_length_b 4.053
_cell_length_c 7.073
_cell_angle_alpha 90.00
_cell_angle_beta 109.10
_cell_angle_gamma 90.00
loop_
_symmetry_equiv_pos_as_xyz
'x,y,z'
'-x,-y,-z'
'-x,y,-z'
'x,-y,z'
loop_
_atom_site_label
_atom_site_type_symbol
_atom_site_fract_x
_atom_site_fract_y
_atom_site_fract_z
Sr1 Sr 0.000 0.000 0.000
Pm1 Pm 0.000 0.500 0.500
Pm2 Pm 0.500 0.000 0.500
Sm1 Sm 0.500 0.500 0.000
S1 S 0.254 0.000 0.749
S2 S 0.257 0.500 0.256
# * total magnetization: 0.00 μB/f.u.
# * DFT total energy: -0.2234 Ha/atom


# CaGaW3, optimized geometry, DFT PBE-GGA
data_CaGaW3
_symmetry_space_group_name_H-M 'P m -3 m'
_symmetry_Int_Tables_number 221
_symmetry_space_group_name_Hall '-P 4 2 3'
_cell_length_a 4.726
_cell_length_b 4.726
_cell_length_c 4.726
_cell_angle_alpha 90.00
_cell_angle_beta 90.00
_cell_angle_gamma 90.00
loop_
_atom_site_label
_atom_site_type_symbol
_atom_site_fract_x
_atom_site_fract_y
_atom_site_fract_z
Ca1 Ca 0.000 0.000 0.000
Ga1 Ga 0.500 0.500 0.500
W1 W 0.000 0.500 0.500
# * excess energy over the best structure of this formula in the dataset: 0.000 eV per atom
# * energy of formation: 8.35 eV per formula unit
# * total magnetization: 0.00 μB/f.u.
# * DFT total energy: -0.2612 Ha/atom


# Pa2GeSe4, optimized geometry, DFT PBE-GGA
data_Pa2GeSe4
_symmetry_space_group_name_H-M 'C m m m'
_symmetry_Int_Tables_number 65
_symmetry_space_group_name_Hall '-C 2 2'
_cell_length_a 7.354
_cell_length_b 13.368
_cell_length_c 3.958
_cell_angle_alpha 90.00
_cell_angle_beta 90.00
_cell_angle_gamma 90.00
loop_
_atom_site_label
_atom_site_type_symbol
_atom_site_fract_x
_atom_site_fract_y
_atom_site_fract_z
Pa1 Pa 0.000 0.169 0.000
Ge1 Ge 0.000 0.000 0.500
Se1 Se 0.247 0.500 0.000
Se2 Se 0.250 0.250 0.500
# * total magnetization: 1.58 μB/f.u.
# * DFT total energy: -0.2351 Ha/atom


# Co2RhAu2, optimized geometry, DFT PBE-GGA
data_Co2RhAu2
_symmetry_space_group_name_H-M 'I 4/m m m'
_symmetry_Int_Tables_number 139
_symmetry_space_group_name_Hall '-I 4 2'
_cell_length_a 3.771
_cell_length_b 3.771
_cell_length_c 11.474
_cell_angle_alpha 90.00
_cell_angle_beta 90.00
_cell_angle_gamma 90.00
loop_
_atom_site_label
_atom_site_type_symbol
_atom_site_fract_x
_atom_site_fract_y
_atom_site_fract_z
Co1 Co 0.000 0.000 0.090
Rh1 Rh 0.000 0.000 0.500
Au1 Au 0.000 0.500 0.250
# * excess energy over the best structure of this formula in the dataset: 0.268 eV per atom
# * energy of formation: 2.98 eV per formula unit
# * total magnetization: 5.19 μB/f.u.
# * DFT total energy: -0.1847 Ha/atom